A | DFT (PBE-GGA) results for an optimized crystal structure of Nd2Tm2In.

## Properties
For the density of states at the Fermi level, the calculation gives 12.2 states/eV/cell. The calculated volume comes out at 31.8 Å³/atom.

```
10
Lattice="4.5330 0.0000 0.0000 0.0000 8.3814 0.0000 0.0000 0.0000 8.3814" Properties=species:S:1:pos:R:3 pbc="T T T"
Nd 0.0000 5.4213 7.1508
In 0.0000 0.0000 0.0000
Nd 0.0000 2.9601 1.2306
Nd 0.0000 7.1508 2.9601
In 0.0000 4.1907 4.1907
Tm 2.2665 1.2851 2.9056
Nd 0.0000 1.2306 5.4213
Tm 2.2665 5.4758 1.2851
Tm 2.2665 2.9056 7.0964
Tm 2.2665 7.0964 5.4758
```

=====

B | DFT (PBE-GGA) results for an optimized crystal structure of Nd2Tm2In.

## Properties
For the density of states at the Fermi level, the calculation gives 8.0 states/eV/cell. The calculated volume comes out at 38.0 Å³/atom.

```
5
Lattice="5.1390 0.0000 0.0000 2.5695 4.4505 0.0000 2.5695 1.4835 8.3133" Properties=species:S:1:pos:R:3 pbc="T T T"
Tm 7.7085 4.4505 7.4911
Tm 2.5695 1.4835 0.8222
In 0.0000 0.0000 0.0000
Nd 5.1390 2.9670 5.7769
Nd 5.1390 2.9670 2.5363
```

=====

The data favor A; the next most stable structure lies 338 meV per atom above it.